(1)
Compound: Sn2PtW
Source: Alexandria via LeMat-Bulk
Functional: PBE
Structure: relaxed

The structure in POSCAR format:
```
Sn2PtW
1.0
0.0000 3.3424 3.3424
3.3424 0.0000 3.3424
3.3424 3.3424 0.0000
W Pt Sn
1 1 2
Direct
0.0000 0.0000 0.0000
0.5000 0.5000 0.5000
0.2500 0.2500 0.2500
0.7500 0.7500 0.7500
```

Output
energy above the lowest structure with this stoichiometry = 0 meV per atom
energy of formation = 350 meV per atom
space group = Fm-3m, No. 225

(2)
Compound: RbNbSn2
Source: Alexandria via LeMat-Bulk
Functional: PBE
Structure: relaxed

The structure in POSCAR format:
```
RbNbSn2
1.0
1.6720 -5.0178 0.7751
-3.3081 -3.6214 2.1255
-1.9314 -3.9588 -3.0287
Nb Sn Rb
1 2 1
Direct
0.5000 0.5000 0.5000
0.2500 0.2500 0.2500
0.7500 0.7500 0.7500
0.0000 0.0000 0.0000
```

Output
energy above the lowest structure with this stoichiometry = 336 meV per atom
energy of formation = 611 meV per atom
space group = Fm-3m, No. 225

(3)
Compound: BaZn3Au3
Source: Alexandria via LeMat-Bulk
Functional: PBE
Structure: relaxed

The structure in POSCAR format:
```
BaZn3Au3
1.0
7.0932 0.0000 0.0000
3.5466 6.1429 0.0000
3.5466 2.0476 7.4661
Ba Zn Au
2 6 6
Direct
0.3350 0.3350 0.9949
0.6650 0.6650 0.0051
0.5471 0.7137 0.6236
0.7137 0.1157 0.6236
0.1157 0.5471 0.6236
0.8843 0.4529 0.3764
0.2863 0.8843 0.3764
0.4529 0.2863 0.3764
0.1449 0.6762 0.2719
0.9070 0.1449 0.2719
0.6762 0.9070 0.2719
0.3238 0.0930 0.7281
0.0930 0.8551 0.7281
0.8551 0.3238 0.7281
```

Output
energy above the lowest structure with this stoichiometry = 0 meV per atom
energy of formation = -290 meV per atom
space group = R-3, No. 148

(4)
Compound: EuInAg4
Source: Alexandria via LeMat-Bulk
Functional: PBE
Structure: relaxed

The structure in POSCAR format:
```
EuInAg4
1.0
5.6819 0.0000 0.0000
2.8410 4.9207 0.0000
2.8410 1.6402 4.6393
Eu Ag In
1 4 1
Direct
0.2500 0.2500 0.2500
0.6253 0.6253 0.1240
0.6253 0.1240 0.6253
0.6253 0.6253 0.6253
0.1240 0.6253 0.6253
0.0000 0.0000 0.0000
```

Output
energy of formation = -215 meV per atom
space group = F-43m, No. 216

(5)
Compound: TaCl2
Source: Alexandria via LeMat-Bulk
Functional: PBE
Structure: relaxed

The structure in POSCAR format:
```
TaCl2
1.0
7.1780 0.0580 0.0000
5.8313 4.1861 0.0000
-6.5047 -2.1220 2.1711
Cl Ta
2 1
Direct
0.6112 0.6112 0.0000
0.3888 0.3888 0.0000
0.0000 0.0000 0.0000
```

Output
energy = -5.57 eV per atom
space group = I4/mmm, No. 139

(6)
Compound: CaLa2UAs4
Source: Alexandria via LeMat-Bulk
Functional: PBE
Structure: relaxed

The structure in POSCAR format:
```
CaLa2UAs4
1.0
-2.2608 -2.8761 2.2106
6.2135 -3.6154 1.6508
-1.3248 5.0489 5.2140
Ca La U As
1 2 1 4
Direct
0.5000 0.5000 0.0000
0.5000 0.0000 0.5000
0.0000 0.5000 0.5000
0.0000 0.0000 0.0000
0.5000 0.2362 0.2335
0.5000 0.7638 0.7665
0.0000 0.2401 0.7633
0.0000 0.7599 0.2367
```

Output
energy of formation = -1241 meV per atom
space group = P2/m, No. 10

(7)
Compound: RbCe2BO5
Source: Alexandria via LeMat-Bulk
Functional: PBE
Structure: relaxed

The structure in POSCAR format:
```
RbCe2BO5
1.0
6.8495 0.0000 0.0000
0.0000 6.8495 0.0000
-3.4248 -3.4248 5.1016
Rb Ce B O
2 4 2 10
Direct
0.2500 0.2500 0.5000
0.7500 0.7500 0.5000
0.1865 0.3135 0.0000
0.6865 0.1865 0.0000
0.3135 0.8135 0.0000
0.8135 0.6865 0.0000
0.2500 0.7500 0.5000
0.7500 0.2500 0.5000
0.0329 0.5329 0.3056
0.7273 0.2273 0.6944
0.9671 0.4671 0.6944
0.2273 0.9671 0.6944
0.4671 0.7273 0.6944
0.7727 0.0329 0.3056
0.5329 0.2727 0.3056
0.2727 0.7727 0.3056
0.5000 0.5000 0.0000
0.0000 0.0000 0.0000
```

Output
energy = -7.57 eV per atom
space group = I4/mcm, No. 140

(8)
Compound: TaGeRu3
Source: Alexandria via LeMat-Bulk
Functional: PBE
Structure: relaxed

The structure in POSCAR format:
```
TaGeRu3
1.0
4.7400 0.0000 0.0000
0.0000 4.7400 0.0000
0.0000 0.0000 4.7400
Ru Ge Ta
3 1 1
Direct
0.0000 0.5000 0.0000
0.0000 0.0000 0.5000
0.5000 0.0000 0.0000
0.5000 0.5000 0.5000
0.0000 0.0000 0.0000
```

Output
energy above the lowest structure with this stoichiometry = 682 meV per atom
energy of formation = 1519 meV per atom
space group = Pm-3m, No. 221